[1]
A plane-wave DFT calculation with PBE was carried out for an optimized crystal structure of PmAl4Sn.

Structure (CIF):
```
data_PmAl4Sn
_symmetry_space_group_name_H-M 'P 1'
_symmetry_Int_Tables_number 1
_symmetry_space_group_name_Hall 'P 1'
_cell_length_a 5.617
_cell_length_b 5.617
_cell_length_c 5.617
_cell_angle_alpha 60.00
_cell_angle_beta 60.00
_cell_angle_gamma 60.00
loop_
_atom_site_label
_atom_site_type_symbol
_atom_site_fract_x
_atom_site_fract_y
_atom_site_fract_z
Al1 Al 0.124 0.625 0.625
Pm1 Pm 0.250 0.250 0.250
Al2 Al 0.625 0.625 0.124
Sn1 Sn 0.000 0.000 0.000
Al3 Al 0.625 0.625 0.625
Al4 Al 0.625 0.124 0.625
```

As for the magnetization: 0.0 μB per cell. Its energy of formation is -0.2067 eV/atom. As for the density of states at the Fermi level: 4.28 states/eV/f.u. The calculation puts the theoretical density at 4.92 g cm⁻³.

[2]
A plane-wave DFT calculation with PBE was carried out for an optimized crystal structure of Pm12AlSn3.

Structure (CIF):
```
data_Pm12AlSn3
_symmetry_space_group_name_H-M 'P 1'
_symmetry_Int_Tables_number 1
_symmetry_space_group_name_Hall 'P 1'
_cell_length_a 4.909
_cell_length_b 4.909
_cell_length_c 19.605
_cell_angle_alpha 90.00
_cell_angle_beta 90.00
_cell_angle_gamma 90.00
loop_
_atom_site_label
_atom_site_type_symbol
_atom_site_fract_x
_atom_site_fract_y
_atom_site_fract_z
Pm1 Pm 0.000 0.500 0.375
Sn1 Sn 0.000 0.000 0.248
Pm2 Pm 0.000 0.500 0.625
Al1 Al 0.000 0.000 0.000
Pm3 Pm 0.500 0.000 0.877
Pm4 Pm 0.500 0.500 0.249
Pm5 Pm 0.500 0.000 0.123
Pm6 Pm 0.500 0.000 0.375
Pm7 Pm 0.500 0.500 0.000
Pm8 Pm 0.500 0.500 0.500
Sn2 Sn 0.000 0.000 0.752
Pm9 Pm 0.500 0.500 0.751
Sn3 Sn 0.000 0.000 0.500
Pm10 Pm 0.000 0.500 0.123
Pm11 Pm 0.000 0.500 0.877
Pm12 Pm 0.500 0.000 0.625
```

As for the magnetization: 0.0 μB per cell. Its energy of formation is -0.3829 eV/atom. As for the density of states at the Fermi level: 17.55 states/eV/f.u. The calculation puts the theoretical density at 7.46 g cm⁻³.

[3]
A plane-wave DFT calculation with PBE was carried out for an optimized crystal structure of Pm3AlSn6.

Structure (CIF):
```
data_Pm3AlSn6
_symmetry_space_group_name_H-M 'P 1'
_symmetry_Int_Tables_number 1
_symmetry_space_group_name_Hall 'P 1'
_cell_length_a 8.541
_cell_length_b 8.070
_cell_length_c 8.070
_cell_angle_alpha 95.67
_cell_angle_beta 90.00
_cell_angle_gamma 90.00
loop_
_atom_site_label
_atom_site_type_symbol
_atom_site_fract_x
_atom_site_fract_y
_atom_site_fract_z
Sn1 Sn 0.719 0.764 0.535
Sn2 Sn 0.219 0.236 0.465
Al1 Al 0.054 0.096 0.904
Sn3 Sn 0.043 0.961 0.584
Sn4 Sn 0.401 0.663 0.337
Sn5 Sn 0.901 0.337 0.663
Sn6 Sn 0.193 0.885 0.115
Al2 Al 0.554 0.904 0.096
Pm1 Pm 0.385 0.262 0.111
Pm2 Pm 0.544 0.399 0.601
Sn7 Sn 0.719 0.465 0.236
Sn8 Sn 0.219 0.535 0.764
Sn9 Sn 0.693 0.115 0.885
Pm3 Pm 0.885 0.111 0.262
Sn10 Sn 0.543 0.584 0.961
Pm4 Pm 0.885 0.738 0.889
Pm5 Pm 0.385 0.889 0.738
Pm6 Pm 0.044 0.601 0.399
Sn11 Sn 0.043 0.416 0.039
Sn12 Sn 0.543 0.039 0.416
```

As for the magnetization: 0.0 μB per cell. Its energy of formation is -0.4165 eV/atom. As for the density of states at the Fermi level: 4.30 states/eV/f.u. The calculation puts the theoretical density at 7.05 g cm⁻³.

[4]
A plane-wave DFT calculation with PBE was carried out for an optimized crystal structure of Pm6AlSn3.

Structure (CIF):
```
data_Pm6AlSn3
_symmetry_space_group_name_H-M 'P 1'
_symmetry_Int_Tables_number 1
_symmetry_space_group_name_Hall 'P 1'
_cell_length_a 4.588
_cell_length_b 11.051
_cell_length_c 13.531
_cell_angle_alpha 112.43
_cell_angle_beta 90.00
_cell_angle_gamma 90.00
loop_
_atom_site_label
_atom_site_type_symbol
_atom_site_fract_x
_atom_site_fract_y
_atom_site_fract_z
Pm1 Pm 0.750 0.754 0.337
Pm2 Pm 0.250 0.157 0.211
Sn1 Sn 0.750 0.106 0.036
Pm3 Pm 0.250 0.162 0.887
Sn2 Sn 0.250 0.315 0.463
Pm4 Pm 0.750 0.474 0.637
Al1 Al 0.750 0.075 0.702
Pm5 Pm 0.750 0.843 0.789
Sn3 Sn 0.750 0.685 0.537
Pm6 Pm 0.250 0.899 0.564
Pm7 Pm 0.750 0.101 0.436
Pm8 Pm 0.250 0.576 0.900
Sn4 Sn 0.250 0.639 0.154
Al2 Al 0.250 0.925 0.298
Pm9 Pm 0.250 0.246 0.663
Pm10 Pm 0.750 0.838 0.113
Sn5 Sn 0.250 0.894 0.964
Pm11 Pm 0.750 0.424 0.100
Sn6 Sn 0.750 0.361 0.846
Pm12 Pm 0.250 0.526 0.363
```

As for the magnetization: 0.0 μB per cell. Its energy of formation is -0.4631 eV/atom. As for the density of states at the Fermi level: 9.24 states/eV/f.u. The calculation puts the theoretical density at 6.56 g cm⁻³.

[5]
A plane-wave DFT calculation with PBE was carried out for an optimized crystal structure of PmAlSn.

Structure (CIF):
```
data_PmAlSn
_symmetry_space_group_name_H-M 'P 1'
_symmetry_Int_Tables_number 1
_symmetry_space_group_name_Hall 'P 1'
_cell_length_a 4.306
_cell_length_b 4.306
_cell_length_c 5.362
_cell_angle_alpha 113.67
_cell_angle_beta 113.67
_cell_angle_gamma 90.00
loop_
_atom_site_label
_atom_site_type_symbol
_atom_site_fract_x
_atom_site_fract_y
_atom_site_fract_z
Al1 Al 0.939 0.939 0.878
Pm1 Pm 0.283 0.283 0.565
Sn1 Sn 0.629 0.629 0.257
```

As for the magnetization: 0.0 μB per cell. Its energy of formation is -0.1803 eV/atom. As for the density of states at the Fermi level: 2.66 states/eV/f.u. The calculation puts the theoretical density at 5.90 g cm⁻³.

[6]
A plane-wave DFT calculation with PBE was carried out for an optimized crystal structure of Pm9AlSn2.

Structure (CIF):
```
data_Pm9AlSn2
_symmetry_space_group_name_H-M 'P 1'
_symmetry_Int_Tables_number 1
_symmetry_space_group_name_Hall 'P 1'
_cell_length_a 4.905
_cell_length_b 4.905
_cell_length_c 14.696
_cell_angle_alpha 90.00
_cell_angle_beta 90.00
_cell_angle_gamma 90.00
loop_
_atom_site_label
_atom_site_type_symbol
_atom_site_fract_x
_atom_site_fract_y
_atom_site_fract_z
Pm1 Pm 0.500 0.500 0.333
Al1 Al 0.000 0.000 0.000
Pm2 Pm 0.000 0.500 0.836
Sn1 Sn 0.000 0.000 0.331
Sn2 Sn 0.000 0.000 0.669
Pm3 Pm 0.000 0.500 0.500
Pm4 Pm 0.500 0.500 0.000
Pm5 Pm 0.500 0.000 0.836
Pm6 Pm 0.500 0.000 0.500
Pm7 Pm 0.000 0.500 0.164
Pm8 Pm 0.500 0.000 0.164
Pm9 Pm 0.500 0.500 0.667
```

As for the magnetization: 0.0 μB per cell. Its energy of formation is -0.3620 eV/atom. As for the density of states at the Fermi level: 15.11 states/eV/f.u. The calculation puts the theoretical density at 7.37 g cm⁻³.

[7]
A plane-wave DFT calculation with PBE was carried out for an optimized crystal structure of Pm5Al3Sn12.

Structure (CIF):
```
data_Pm5Al3Sn12
_symmetry_space_group_name_H-M 'P 1'
_symmetry_Int_Tables_number 1
_symmetry_space_group_name_Hall 'P 1'
_cell_length_a 15.231
_cell_length_b 15.231
_cell_length_c 15.231
_cell_angle_alpha 109.47
_cell_angle_beta 109.47
_cell_angle_gamma 109.47
loop_
_atom_site_label
_atom_site_type_symbol
_atom_site_fract_x
_atom_site_fract_y
_atom_site_fract_z
Sn1 Sn 0.163 0.055 0.916
Pm1 Pm 0.500 0.000 0.500
Sn2 Sn 0.608 0.747 0.663
Pm2 Pm 0.625 0.875 0.250
Sn3 Sn 0.663 0.247 0.608
Sn4 Sn 0.108 0.945 0.362
Pm3 Pm 0.000 0.000 0.000
Sn5 Sn 0.945 0.108 0.862
Sn6 Sn 0.638 0.555 0.892
Sn7 Sn 0.862 0.253 0.416
Sn8 Sn 0.663 0.416 0.555
Al1 Al 0.125 0.250 0.875
Sn9 Sn 0.555 0.916 0.663
Pm4 Pm 0.000 0.000 0.500
Sn10 Sn 0.753 0.337 0.892
Sn11 Sn 0.362 0.916 0.753
Sn12 Sn 0.362 0.445 0.108
Sn13 Sn 0.337 0.753 0.392
Sn14 Sn 0.416 0.753 0.862
Sn15 Sn 0.337 0.584 0.445
Sn16 Sn 0.084 0.638 0.747
Sn17 Sn 0.138 0.392 0.055
Pm5 Pm 0.125 0.375 0.250
Pm6 Pm 0.375 0.250 0.125
Pm7 Pm 0.250 0.375 0.625
Al2 Al 0.875 0.750 0.125
Sn18 Sn 0.247 0.663 0.108
Sn19 Sn 0.892 0.837 0.753
Al3 Al 0.125 0.875 0.750
Sn20 Sn 0.416 0.663 0.055
Sn21 Sn 0.247 0.584 0.638
Pm8 Pm 0.125 0.750 0.375
Sn22 Sn 0.862 0.608 0.945
Pm9 Pm 0.500 0.000 0.000
Sn23 Sn 0.753 0.416 0.362
Al4 Al 0.750 0.375 0.125
Al5 Al 0.625 0.375 0.750
Sn24 Sn 0.747 0.608 0.163
Sn25 Sn 0.916 0.555 0.163
Sn26 Sn 0.945 0.837 0.584
Pm10 Pm 0.875 0.625 0.750
Pm11 Pm 0.500 0.500 0.500
Sn27 Sn 0.445 0.084 0.337
Al6 Al 0.250 0.625 0.875
Sn28 Sn 0.584 0.337 0.945
Pm12 Pm 0.875 0.250 0.625
Sn29 Sn 0.555 0.638 0.392
Sn30 Sn 0.055 0.892 0.138
Pm13 Pm 0.750 0.625 0.375
Sn31 Sn 0.392 0.138 0.555
Sn32 Sn 0.445 0.362 0.608
Pm14 Pm 0.000 0.500 0.000
Sn33 Sn 0.163 0.108 0.747
Al7 Al 0.375 0.625 0.250
Sn34 Sn 0.837 0.892 0.253
Pm15 Pm 0.500 0.500 0.000
Sn35 Sn 0.747 0.138 0.084
Sn36 Sn 0.584 0.247 0.138
Pm16 Pm 0.250 0.875 0.125
Sn37 Sn 0.916 0.362 0.253
Al8 Al 0.750 0.875 0.625
Sn38 Sn 0.253 0.862 0.916
Pm17 Pm 0.375 0.125 0.750
Sn39 Sn 0.392 0.253 0.337
Al9 Al 0.375 0.750 0.625
Al10 Al 0.875 0.125 0.250
Sn40 Sn 0.055 0.163 0.416
Sn41 Sn 0.108 0.163 0.247
Pm18 Pm 0.750 0.125 0.875
Sn42 Sn 0.253 0.392 0.837
Al11 Al 0.250 0.125 0.375
Sn43 Sn 0.837 0.945 0.084
Pm19 Pm 0.000 0.500 0.500
Sn44 Sn 0.892 0.055 0.638
Sn45 Sn 0.638 0.084 0.247
Pm20 Pm 0.625 0.750 0.875
Sn46 Sn 0.608 0.862 0.445
Al12 Al 0.625 0.250 0.375
Sn47 Sn 0.138 0.747 0.584
Sn48 Sn 0.084 0.445 0.837
```

As for the magnetization: 0.0 μB per cell. Its energy of formation is 0.0913 eV/atom. As for the density of states at the Fermi level: 16.40 states/eV/f.u. The calculation puts the theoretical density at 5.45 g cm⁻³.

[8]
A plane-wave DFT calculation with PBE was carried out for an optimized crystal structure of PmAlSn.

Structure (CIF):
```
data_PmAlSn
_symmetry_space_group_name_H-M 'P 1'
_symmetry_Int_Tables_number 1
_symmetry_space_group_name_Hall 'P 1'
_cell_length_a 4.476
_cell_length_b 8.952
_cell_length_c 7.367
_cell_angle_alpha 90.00
_cell_angle_beta 90.00
_cell_angle_gamma 90.00
loop_
_atom_site_label
_atom_site_type_symbol
_atom_site_fract_x
_atom_site_fract_y
_atom_site_fract_z
Sn1 Sn 0.750 0.592 0.196
Pm1 Pm 0.250 0.683 0.501
Sn2 Sn 0.250 0.092 0.304
Al1 Al 0.250 0.404 0.205
Al2 Al 0.750 0.596 0.795
Sn3 Sn 0.250 0.408 0.804
Pm2 Pm 0.750 0.183 0.999
Al3 Al 0.750 0.904 0.295
Al4 Al 0.250 0.096 0.705
Pm3 Pm 0.750 0.317 0.499
Sn4 Sn 0.750 0.908 0.696
Pm4 Pm 0.250 0.817 0.001
```

As for the magnetization: 0.0 μB per cell. Its energy of formation is -0.5453 eV/atom. As for the density of states at the Fermi level: 0.84 states/eV/f.u. The calculation puts the theoretical density at 6.54 g cm⁻³.

[9]
A plane-wave DFT calculation with PBE was carried out for an optimized crystal structure of Pm7Al2Sn2.

Structure (CIF):
```
data_Pm7Al2Sn2
_symmetry_space_group_name_H-M 'P 1'
_symmetry_Int_Tables_number 1
_symmetry_space_group_name_Hall 'P 1'
_cell_length_a 6.915
_cell_length_b 7.815
_cell_length_c 6.915
_cell_angle_alpha 90.00
_cell_angle_beta 109.14
_cell_angle_gamma 90.00
loop_
_atom_site_label
_atom_site_type_symbol
_atom_site_fract_x
_atom_site_fract_y
_atom_site_fract_z
Pm1 Pm 0.000 0.706 0.500
Sn1 Sn 0.706 0.000 0.294
Al1 Al 0.835 0.500 0.835
Pm2 Pm 0.500 0.277 0.500
Pm3 Pm 0.000 0.294 0.500
Al2 Al 0.165 0.500 0.165
Sn2 Sn 0.294 0.000 0.706
Pm4 Pm 0.500 0.723 0.500
Pm5 Pm 0.500 0.706 0.000
Pm6 Pm 0.000 0.000 0.000
Pm7 Pm 0.500 0.294 0.000
```

As for the magnetization: 0.0 μB per cell. Its energy of formation is -0.1842 eV/atom. As for the density of states at the Fermi level: 12.13 states/eV/f.u. The calculation puts the theoretical density at 6.14 g cm⁻³.

[10]
A plane-wave DFT calculation with PBE was carried out for an optimized crystal structure of Pm4Al3Sn.

Structure (CIF):
```
data_Pm4Al3Sn
_symmetry_space_group_name_H-M 'P 1'
_symmetry_Int_Tables_number 1
_symmetry_space_group_name_Hall 'P 1'
_cell_length_a 4.571
_cell_length_b 4.260
_cell_length_c 11.513
_cell_angle_alpha 90.00
_cell_angle_beta 90.00
_cell_angle_gamma 90.00
loop_
_atom_site_label
_atom_site_type_symbol
_atom_site_fract_x
_atom_site_fract_y
_atom_site_fract_z
Pm1 Pm 0.000 0.500 0.855
Pm2 Pm 0.500 0.000 0.640
Al1 Al 0.000 0.000 0.428
Al2 Al 0.000 0.500 0.570
Al3 Al 0.500 0.000 0.922
Pm3 Pm 0.000 0.000 0.143
Pm4 Pm 0.500 0.500 0.365
Sn1 Sn 0.500 0.500 0.077
```

As for the magnetization: 0.5 μB per cell. Its energy of formation is -0.4820 eV/atom. As for the density of states at the Fermi level: 8.48 states/eV/f.u. The calculation puts the theoretical density at 5.77 g cm⁻³.

> magnetization of number 1 (PmAl4Sn)?

0.0 μB per cell